[1]
# PaGe2PdN

A geometry-optimized PaGe2PdN structure (PBE, Alexandria via LeMat-Bulk).

Properties
- VASP energy: -35.27 eV per formula unit
- Formation energy (no corrections): -0.60 eV/atom
- D(E_F): 8.616 states/eV/cell

Geometry as CIF:
```
data_PaGe2PdN
_space_group_name_H-M_alt 'P 4/n m m'
_space_group_IT_number 129
_cell_length_a 3.6999
_cell_length_b 3.6999
_cell_length_c 14.2916
_cell_angle_alpha 90.00
_cell_angle_beta 90.00
_cell_angle_gamma 90.00
loop_
_space_group_symop_operation_xyz
'x,y,z'
'-x,-y,-z'
'-y+1/2,x,z'
'y+1/2,-x,-z'
'-x+1/2,-y+1/2,z'
'x+1/2,y+1/2,-z'
'y,-x+1/2,z'
'-y,x+1/2,-z'
'x+1/2,-y,-z'
'-x+1/2,y,z'
'-y,-x,-z'
'y,x,z'
'-x,y+1/2,-z'
'x,-y+1/2,z'
'y+1/2,x+1/2,-z'
'-y+1/2,-x+1/2,z'
loop_
_atom_site_label
_atom_site_fract_x
_atom_site_fract_y
_atom_site_fract_z
Pa1 0.2500 0.2500 0.0887
Ge1 0.2500 0.2500 0.4268
Ge2 0.2500 0.2500 0.7849
Pd1 0.2500 0.2500 0.6108
N1 0.2500 0.7500 0.0000
```

[2]
# GdCdCuSn

A geometry-optimized GdCdCuSn structure (PBE, Alexandria via LeMat-Bulk).

Properties
- VASP energy: -23.97 eV per formula unit
- DFT formation energy: -0.218 eV per atom
- D(E_F): 8.090 states/eV/cell

Geometry as CIF:
```
data_GdCdCuSn
_space_group_name_H-M_alt 'F -4 3 m'
_space_group_IT_number 216
_space_group_name_Hall 'F -4 2 3'
_cell_length_a 7.0564
_cell_length_b 7.0564
_cell_length_c 7.0564
_cell_angle_alpha 90.00
_cell_angle_beta 90.00
_cell_angle_gamma 90.00
loop_
_atom_site_label
_atom_site_fract_x
_atom_site_fract_y
_atom_site_fract_z
Gd1 0.0000 0.0000 0.0000
Cd1 0.2500 0.2500 0.7500
Cu1 0.2500 0.2500 0.2500
Sn1 0.0000 0.0000 0.5000
```

[3]
# Pu2GaTc

A geometry-optimized Pu2GaTc structure (PBE, Alexandria via LeMat-Bulk).

Properties
- VASP energy: -42.81 eV per formula unit
- DFT formation energy: -0.187 eV per atom
- D(E_F): 42.841 states/eV/cell

Geometry as CIF:
```
data_Pu2GaTc
_space_group_name_H-M_alt 'C m c m'
_space_group_IT_number 63
_space_group_name_Hall '-C 2c 2'
_cell_length_a 8.9772
_cell_length_b 6.8247
_cell_length_c 5.2080
_cell_angle_alpha 90.00
_cell_angle_beta 90.00
_cell_angle_gamma 90.00
loop_
_atom_site_label
_atom_site_fract_x
_atom_site_fract_y
_atom_site_fract_z
Pu1 0.1953 0.1619 0.2500
Ga1 0.0000 0.5000 0.0000
Tc1 0.0000 0.1293 0.7500
```

[4]
# Tb2IrRh

A geometry-optimized Tb2IrRh structure (PBE, Alexandria via LeMat-Bulk).

Properties
- VASP energy: -27.53 eV per formula unit
- DFT formation energy: -0.515 eV per atom
- D(E_F): 1.467 states/eV/cell
- E above lowest polymorph: 326 meV per atom

Geometry as CIF:
```
data_Tb2IrRh
_space_group_name_H-M_alt 'R -3 m'
_space_group_IT_number 166
_space_group_name_Hall '-R 3 2"'
_cell_length_a 4.0281
_cell_length_b 4.0281
_cell_length_c 19.4383
_cell_angle_alpha 90.00
_cell_angle_beta 90.00
_cell_angle_gamma 120.00
loop_
_atom_site_label
_atom_site_fract_x
_atom_site_fract_y
_atom_site_fract_z
Tb1 0.0000 0.0000 0.2490
Ir1 0.0000 0.0000 0.5000
Rh1 0.0000 0.0000 0.0000
```

[5]
# La4Zn2Ge

A geometry-optimized La4Zn2Ge structure (PBE, Alexandria via LeMat-Bulk).

Properties
- VASP energy: -29.08 eV per formula unit
- DFT formation energy: -0.315 eV per atom
- D(E_F): 24.152 states/eV/cell

Geometry as CIF:
```
data_La4Zn2Ge
_space_group_name_H-M_alt 'R -3 m'
_space_group_IT_number 166
_space_group_name_Hall '-R 3 2"'
_cell_length_a 5.2584
_cell_length_b 5.2584
_cell_length_c 25.4540
_cell_angle_alpha 90.00
_cell_angle_beta 90.00
_cell_angle_gamma 120.00
loop_
_atom_site_label
_atom_site_fract_x
_atom_site_fract_y
_atom_site_fract_z
La1 0.0000 0.0000 0.1219
La2 0.0000 0.0000 0.3739
Zn1 0.0000 0.0000 0.2516
Ge1 0.0000 0.0000 0.5000
```

[6]
# MgCd6Hg

A geometry-optimized MgCd6Hg structure (PBE, Alexandria via LeMat-Bulk).

Properties
- VASP energy: -7.46 eV per formula unit
- DFT formation energy: -0.009 eV per atom
- D(E_F): 4.254 states/eV/cell
- E above lowest polymorph: 0 meV per atom

Geometry as CIF:
```
data_MgCd6Hg
_space_group_name_H-M_alt 'P 4/m m m'
_space_group_IT_number 123
_space_group_name_Hall '-P 4 2'
_cell_length_a 4.5711
_cell_length_b 4.5711
_cell_length_c 8.6733
_cell_angle_alpha 90.00
_cell_angle_beta 90.00
_cell_angle_gamma 90.00
loop_
_atom_site_label
_atom_site_fract_x
_atom_site_fract_y
_atom_site_fract_z
Mg1 0.0000 0.0000 0.0000
Cd1 0.0000 0.5000 0.2450
Cd2 0.5000 0.5000 0.0000
Cd3 0.5000 0.5000 0.5000
Hg1 0.0000 0.0000 0.5000
```

[7]
# Rb5S

A geometry-optimized Rb5S structure (PBE, Alexandria via LeMat-Bulk).

Properties
- VASP energy: -11.48 eV per formula unit
- Formation energy (no corrections): -0.42 eV/atom
- D(E_F): 4.510 states/eV/cell
- E above lowest polymorph: 0 meV per atom

Geometry as CIF:
```
data_Rb5S
_space_group_name_H-M_alt 'P m m a'
_space_group_IT_number 51
_cell_length_a 13.5053
_cell_length_b 4.8342
_cell_length_c 11.9468
_cell_angle_alpha 90.00
_cell_angle_beta 90.00
_cell_angle_gamma 90.00
loop_
_space_group_symop_operation_xyz
'x,y,z'
'-x,-y,-z'
'-x+1/2,-y,z'
'x+1/2,y,-z'
'x+1/2,-y,-z'
'-x+1/2,y,z'
'-x,y,-z'
'x,-y,z'
loop_
_atom_site_label
_atom_site_fract_x
_atom_site_fract_y
_atom_site_fract_z
Rb1 0.0000 0.0000 0.0000
Rb2 0.1070 0.5000 0.2910
Rb3 0.2500 0.0000 0.6309
Rb4 0.2500 0.5000 0.9863
S1 0.2500 0.0000 0.1693
```

[8]
# Sc3SnIr2

A geometry-optimized Sc3SnIr2 structure (PBE, Alexandria via LeMat-Bulk).

Properties
- VASP energy: -45.96 eV per formula unit
- DFT formation energy: -0.873 eV per atom
- D(E_F): 2.529 states/eV/cell

Geometry as CIF:
```
data_Sc3SnIr2
_space_group_name_H-M_alt 'P 4/m m m'
_space_group_IT_number 123
_space_group_name_Hall '-P 4 2'
_cell_length_a 3.1486
_cell_length_b 3.1486
_cell_length_c 11.4893
_cell_angle_alpha 90.00
_cell_angle_beta 90.00
_cell_angle_gamma 90.00
loop_
_atom_site_label
_atom_site_fract_x
_atom_site_fract_y
_atom_site_fract_z
Sc1 0.0000 0.0000 0.0000
Sc2 0.0000 0.0000 0.2935
Sn1 0.5000 0.5000 0.5000
Ir1 0.5000 0.5000 0.1501
```